1.
Computed, not measured: a crystal of Ce4SmO9 relaxed with PBEsol at the SCAN level of DFT.

**Space group**: Imm2
**Formation energy without anion corrections**: -86.62 kcal/mol of atoms

a b c (Å): 10.273 10.273 10.273
angles (deg): 158.80 37.79 149.08
Element x y z (fractional)
Ce 0.107 0.000 0.107
Ce 0.294 0.994 0.301
Ce 0.693 0.994 0.699
Ce 0.893 0.000 0.893
Sm 0.440 0.940 0.500
O 0.042 0.244 0.798
O 0.132 0.738 0.394
O 0.215 0.215 0.000
O 0.343 0.738 0.606
O 0.447 0.244 0.202
O 0.548 0.746 0.802
O 0.659 0.245 0.414
O 0.830 0.245 0.586
O 0.944 0.746 0.198

***

2.
Computed, not measured: a crystal of Ta4SbPt relaxed with PBEsol at the SCAN level of DFT.

**Space group**: F-43m
**Formation energy without anion corrections**: 6.46 kcal/mol of atoms

a b c (Å): 5.393 5.393 5.393
angles (deg): 60.00 60.00 60.00
Element x y z (fractional)
Ta 0.376 0.376 0.376
Ta 0.376 0.376 0.873
Ta 0.376 0.873 0.376
Ta 0.873 0.376 0.376
Sb 0.750 0.750 0.750
Pt 0.000 0.000 0.000

***

3.
Computed, not measured: a crystal of Ca2YW relaxed with PBEsol at the SCAN level of DFT.

**Offset from the most stable computed form**: 194 meV per atom
**Space group**: I-4m2
**Formation enthalpy at 0 K**: 0.8764 eV/atom

a b c (Å): 5.520 5.520 5.520
angles (deg): 128.13 128.13 76.41
Element x y z (fractional)
Ca 0.000 0.000 0.000
Ca 0.750 0.250 0.500
Y 0.250 0.750 0.500
W 0.500 0.500 0.000

***

4.
Computed, not measured: a crystal of Ba3SbRu relaxed with PBEsol at the SCAN level of DFT.

**Space group**: Pm-3m
**Formation energy without anion corrections**: 10.28 kcal/mol of atoms

a b c (Å): 6.448 6.448 6.448
angles (deg): 90.00 90.00 90.00
Element x y z (fractional)
Ba 0.000 0.000 0.500
Ba 0.000 0.500 0.000
Ba 0.500 0.000 0.000
Sb 0.000 0.000 0.000
Ru 0.500 0.500 0.500

***

5.
Computed, not measured: a crystal of LiZrAs2 relaxed with PBEsol at the SCAN level of DFT.

**Offset from the most stable computed form**: 45 meV per atom
**Space group**: Fm-3m
**Formation enthalpy at 0 K**: -0.6118 eV/atom

a b c (Å): 4.653 4.653 4.653
angles (deg): 60.00 60.00 60.00
Element x y z (fractional)
Li 0.000 0.000 0.000
Zr 0.500 0.500 0.500
As 0.250 0.250 0.250
As 0.750 0.750 0.750

***

6.
Computed, not measured: a crystal of AsRh2N relaxed with PBEsol at the SCAN level of DFT.

**Space group**: Fm-3m
**Formation energy without anion corrections**: 12.99 kcal/mol of atoms

a b c (Å): 4.087 4.087 4.087
angles (deg): 60.00 60.00 60.00
Element x y z (fractional)
As 0.000 0.000 0.000
Rh 0.250 0.250 0.250
Rh 0.750 0.750 0.750
N 0.500 0.500 0.500

***

7.
Computed, not measured: a crystal of Zn2CoIr relaxed with PBEsol at the SCAN level of DFT.

**Space group**: Imm2
**Formation enthalpy at 0 K**: -0.0902 eV/atom

a b c (Å): 4.927 4.927 4.927
angles (deg): 146.03 129.67 62.11
Element x y z (fractional)
Zn 0.000 0.000 0.000
Zn 0.746 0.246 0.500
Co 0.241 0.741 0.500
Ir 0.487 0.487 0.000

***

8.
Computed, not measured: a crystal of Ca2Sb2Au relaxed with PBEsol at the SCAN level of DFT.

**Space group**: I4/mmm
**Formation energy without anion corrections**: -13.90 kcal/mol of atoms

a b c (Å): 6.017 6.017 6.017
angles (deg): 119.47 119.47 90.92
Element x y z (fractional)
Ca 0.250 0.750 0.500
Ca 0.750 0.250 0.500
Sb 0.180 0.180 0.000
Sb 0.820 0.820 0.000
Au 0.500 0.500 0.000

***

9.
Computed, not measured: a crystal of Li3SbPb relaxed with PBEsol at the SCAN level of DFT.

**Offset from the most stable computed form**: 0 meV per atom
**Space group**: Pm-3m
**Formation energy without anion corrections**: -2.50 kcal/mol of atoms

a b c (Å): 5.040 5.040 5.040
angles (deg): 90.00 90.00 90.00
Element x y z (fractional)
Li 0.000 0.000 0.500
Li 0.000 0.500 0.000
Li 0.500 0.000 0.000
Sb 0.000 0.000 0.000
Pb 0.500 0.500 0.500

***

10.
Computed, not measured: a crystal of PaHgO3 relaxed with PBEsol at the SCAN level of DFT.

**Space group**: Pm-3m
**Formation energy without anion corrections**: -58.24 kcal/mol of atoms

a b c (Å): 4.323 4.323 4.323
angles (deg): 90.00 90.00 90.00
Element x y z (fractional)
Pa 0.000 0.000 0.000
Hg 0.500 0.500 0.500
O 0.000 0.000 0.500
O 0.000 0.500 0.000
O 0.500 0.000 0.000

***

11.
Computed, not measured: a crystal of TlTe2Rh2 relaxed with PBEsol at the SCAN level of DFT.

**Space group**: I4/mmm
**Formation energy without anion corrections**: -6.75 kcal/mol of atoms

a b c (Å): 7.486 7.486 7.486
angles (deg): 148.33 148.33 45.39
Element x y z (fractional)
Tl 0.000 0.000 0.000
Te 0.365 0.365 0.000
Te 0.635 0.635 0.000
Rh 0.250 0.750 0.500
Rh 0.750 0.250 0.500

***

12.
Computed, not measured: a crystal of La2BeTl relaxed with PBEsol at the SCAN level of DFT.

**Offset from the most stable computed form**: 160 meV per atom
**Space group**: I-4m2
**Formation enthalpy at 0 K**: -0.0536 eV/atom

a b c (Å): 5.867 5.867 5.867
angles (deg): 134.51 134.51 66.30
Element x y z (fractional)
La 0.000 0.000 0.000
La 0.750 0.250 0.500
Be 0.250 0.750 0.500
Tl 0.500 0.500 0.000

***

13.
Computed, not measured: a crystal of ZrMoP2 relaxed with PBEsol at the SCAN level of DFT.

**Offset from the most stable computed form**: 0 meV per atom
**Space group**: Imm2
**Formation enthalpy at 0 K**: -0.9894 eV/atom

a b c (Å): 6.233 6.233 6.233
angles (deg): 149.84 148.34 44.29
Element x y z (fractional)
Zr 0.000 0.000 0.000
Mo 0.251 0.751 0.500
P 0.407 0.407 0.000
P 0.672 0.172 0.500

***

14.
Computed, not measured: a crystal of NbReB2Au relaxed with PBEsol at the SCAN level of DFT.

**Space group**: P4/mmm
**Formation enthalpy at 0 K**: 1.9872 eV/atom

a b c (Å): 4.163 4.163 4.907
angles (deg): 90.00 90.00 90.00
Element x y z (fractional)
Nb 0.000 0.000 0.000
Re 0.000 0.000 0.500
B 0.000 0.500 0.000
B 0.500 0.000 0.000
Au 0.500 0.500 0.500

***

15.
Computed, not measured: a crystal of Be3Sb relaxed with PBEsol at the SCAN level of DFT.

**Offset from the most stable computed form**: 226 meV per atom
**Space group**: Pmmm
**Formation energy without anion corrections**: 14.26 kcal/mol of atoms

a b c (Å): 2.829 3.473 5.427
angles (deg): 90.00 90.00 90.00
Element x y z (fractional)
Be 0.000 0.000 0.000
Be 0.500 0.500 0.189
Be 0.500 0.500 0.811
Sb 0.000 0.000 0.500

***

16.
Computed, not measured: a crystal of Be2CuBi relaxed with PBEsol at the SCAN level of DFT.

**Space group**: I4_1/amd
**Formation enthalpy at 0 K**: 0.4144 eV/atom

a b c (Å): 8.214 8.214 8.214
angles (deg): 151.14 151.14 41.27
Element x y z (fractional)
Be 0.000 0.000 0.000
Be 0.000 0.000 0.500
Be 0.000 0.500 0.000
Be 0.500 0.000 0.500
Cu 0.125 0.875 0.250
Cu 0.875 0.125 0.750
Bi 0.375 0.625 0.750
Bi 0.625 0.375 0.250

***

17.
Computed, not measured: a crystal of CrHg2Cl relaxed with PBEsol at the SCAN level of DFT.

**Offset from the most stable computed form**: 8 meV per atom
**Space group**: Immm
**Formation energy without anion corrections**: -4.92 kcal/mol of atoms

a b c (Å): 7.321 7.321 7.321
angles (deg): 155.66 147.28 41.20
Element x y z (fractional)
Cr 0.000 0.000 0.000
Hg 0.187 0.687 0.500
Hg 0.813 0.313 0.500
Cl 0.500 0.500 0.000

***

18.
Computed, not measured: a crystal of LiAlSe2 relaxed with PBEsol at the SCAN level of DFT.

**Space group**: Amm2
**Formation energy without anion corrections**: -19.16 kcal/mol of atoms

a b c (Å): 3.597 6.718 6.718
angles (deg): 28.78 90.00 90.00
Element x y z (fractional)
Li 0.000 0.000 0.000
Al 0.500 0.780 0.780
Se 0.000 0.196 0.196
Se 0.500 0.427 0.427

***

19.
Computed, not measured: a crystal of ZrSi2SeO relaxed with PBEsol at the SCAN level of DFT.

**Space group**: P4/mmm
**Formation energy without anion corrections**: 20.94 kcal/mol of atoms

a b c (Å): 5.132 5.132 4.975
angles (deg): 90.00 90.00 90.00
Element x y z (fractional)
Zr 0.000 0.000 0.000
Si 0.000 0.500 0.000
Si 0.500 0.000 0.000
Se 0.000 0.000 0.500
O 0.500 0.500 0.500

***

20.
Computed, not measured: a crystal of CrRu2Br relaxed with PBEsol at the SCAN level of DFT.

**Space group**: F-43m
**Formation energy without anion corrections**: 25.69 kcal/mol of atoms

a b c (Å): 4.279 4.279 4.279
angles (deg): 60.00 60.00 60.00
Element x y z (fractional)
Cr 0.000 0.000 0.000
Ru 0.250 0.250 0.250
Ru 0.500 0.500 0.500
Br 0.750 0.750 0.750

***

21.
Computed, not measured: a crystal of K2NaAs2 relaxed with PBEsol at the SCAN level of DFT.

**Offset from the most stable computed form**: 216 meV per atom
**Space group**: I4/mmm
**Formation enthalpy at 0 K**: -0.2308 eV/atom

a b c (Å): 7.605 7.605 7.605
angles (deg): 142.96 142.96 53.39
Element x y z (fractional)
K 0.250 0.750 0.500
K 0.750 0.250 0.500
Na 0.000 0.000 0.000
As 0.413 0.413 0.000
As 0.587 0.587 0.000

***

22.
Computed, not measured: a crystal of Sc2TaCr relaxed with PBEsol at the SCAN level of DFT.

**Offset from the most stable computed form**: 108 meV per atom
**Space group**: P2/m
**Formation enthalpy at 0 K**: 0.2963 eV/atom

a b c (Å): 2.943 4.565 5.542
angles (deg): 90.00 105.16 90.00
Element x y z (fractional)
Sc 0.089 0.000 0.259
Sc 0.911 0.000 0.741
Ta 0.500 0.500 0.000
Cr 0.500 0.500 0.500

***

23.
Computed, not measured: a crystal of YTa2Ag relaxed with PBEsol at the SCAN level of DFT.

**Space group**: P4mm
**Formation enthalpy at 0 K**: 0.1793 eV/atom

a b c (Å): 3.440 3.440 6.831
angles (deg): 90.00 90.00 90.00
Element x y z (fractional)
Y 0.000 0.000 0.000
Ta 0.000 0.000 0.525
Ta 0.500 0.500 0.710
Ag 0.500 0.500 0.274

***

24.
Computed, not measured: a crystal of ZrCoSi relaxed with PBEsol at the SCAN level of DFT.

**Space group**: Pnma
**Formation energy without anion corrections**: -18.97 kcal/mol of atoms

a b c (Å): 6.409 3.820 7.033
angles (deg): 90.00 90.00 90.00
Element x y z (fractional)
Zr 0.006 0.250 0.194
Zr 0.494 0.750 0.694
Zr 0.506 0.250 0.306
Zr 0.994 0.750 0.806
Co 0.144 0.250 0.570
Co 0.356 0.750 0.070
Co 0.644 0.250 0.930
Co 0.856 0.750 0.430
Si 0.217 0.750 0.396
Si 0.283 0.250 0.896
Si 0.717 0.750 0.104
Si 0.783 0.250 0.604

***

25.
Computed, not measured: a crystal of SrLi4La relaxed with PBEsol at the SCAN level of DFT.

**Space group**: F-43m
**Formation enthalpy at 0 K**: 0.0798 eV/atom

a b c (Å): 6.180 6.180 6.180
angles (deg): 60.00 60.00 60.00
Element x y z (fractional)
Sr 0.000 0.000 0.000
Li 0.375 0.375 0.375
Li 0.375 0.375 0.874
Li 0.375 0.874 0.375
Li 0.874 0.375 0.375
La 0.750 0.750 0.750

***

26.
Computed, not measured: a crystal of Mn2Se3 relaxed with PBEsol at the SCAN level of DFT.

**Space group**: P-3m1
**Formation energy without anion corrections**: -17.54 kcal/mol of atoms

a b c (Å): 3.571 3.571 8.899
angles (deg): 90.00 90.00 120.00
Element x y z (fractional)
Mn 0.333 0.667 0.317
Mn 0.667 0.333 0.683
Se 0.000 0.000 0.500
Se 0.333 0.667 0.833
Se 0.667 0.333 0.167

***

27.
Computed, not measured: a crystal of KBaPt4 relaxed with PBEsol at the SCAN level of DFT.

**Space group**: F-43m
**Formation enthalpy at 0 K**: -0.6126 eV/atom

a b c (Å): 5.519 5.519 5.519
angles (deg): 60.00 60.00 60.00
Element x y z (fractional)
K 0.000 0.000 0.000
Ba 0.250 0.250 0.250
Pt 0.124 0.625 0.625
Pt 0.625 0.124 0.625
Pt 0.625 0.625 0.124
Pt 0.625 0.625 0.625

***

28.
Computed, not measured: a crystal of CoAs3C relaxed with PBEsol at the SCAN level of DFT.

**Space group**: Pm-3m
**Formation enthalpy at 0 K**: 1.6510 eV/atom

a b c (Å): 4.417 4.417 4.417
angles (deg): 90.00 90.00 90.00
Element x y z (fractional)
Co 0.000 0.000 0.000
As 0.000 0.000 0.500
As 0.000 0.500 0.000
As 0.500 0.000 0.000
C 0.500 0.500 0.500

***

Which mass density belongs to each record? In order, 7.1; 15.6; 5.8; 3.9; 5.8; 10.1; 12.5; 5.6; 4.5; 9.9; 9.6; 8.1; 6.5; 9.7; 4.6; 7.5; 9.3; 4.1; 3.1; 10.0; 2.6; 7.5; 11.5; 6.9; 2.5; 5.9; 13.4; 5.7 g cm⁻³.
Which magnetization belongs to each record? In order, 1.0; 0.0; 0.0; 1.4; 0.0; 1.9; 1.9; 0.0; 0.0; 0.0; 0.0; 0.0; 0.0; 1.2; 0.0; 0.0; 4.7; 0.0; 1.5; 0.0; 0.0; 2.4; 0.0; 0.0; 1.0; 8.0; 0.0; 0.0 μB per formula unit.
Which Fermi-level density of states belongs to each record? In order, 7.60; 5.58; 4.54; 6.67; 1.51; 2.39; 2.25; 2.15; 2.91; 2.01; 4.21; 4.33; 0.82; 2.64; 1.27; 3.10; 1.44; 1.16; 2.73; 5.00; 3.33; 4.03; 2.94; 8.07; 4.67; 1.00; 1.15; 3.98 states/eV/cell.